1.
! ZnAsBr2 (PBE-GGA, optimized geometry); values from VASP
! Energy relative to the elements, uncorrected, eV per atom: -0.314
! Raw total energy, eV per atom: -2.63
! Space-group type: Cm (8)
! Density of states at the Fermi level, states/eV/f.u.: 1.8
&SYSTEM
  ibrav = 0, nat = 4, ntyp = 3
/
ATOMIC_SPECIES
Zn 65.41 Zn.upf
As 74.92 As.upf
Br 79.90 Br.upf
CELL_PARAMETERS angstrom
3.8823 -1.8037 0.0000
3.8823 1.8037 0.0000
-0.5291 0.0000 8.7098
ATOMIC_POSITIONS crystal
Zn 0.0000 0.0000 0.0000
As 0.7165 0.7165 0.1233
Br 0.4969 0.4969 0.7959
Br 0.7790 0.7790 0.3886

---

2.
! ZnAsBr2 (PBE-GGA, optimized geometry); values from VASP
! Energy relative to the elements, uncorrected, eV per atom: 0.203
! Raw total energy, eV per atom: -2.11
! Space-group type: I-4m2 (119)
! Density of states at the Fermi level, states/eV/f.u.: 3.3
&SYSTEM
  ibrav = 0, nat = 4, ntyp = 3
/
ATOMIC_SPECIES
Zn 65.41 Zn.upf
As 74.92 As.upf
Br 79.90 Br.upf
CELL_PARAMETERS angstrom
-1.9445 1.9445 7.0522
1.9445 -1.9445 7.0522
1.9445 1.9445 -7.0522
ATOMIC_POSITIONS crystal
Zn 0.0000 0.0000 0.0000
As 0.2500 0.7500 0.5000
Br 0.5000 0.5000 0.0000
Br 0.7500 0.2500 0.5000